A geometry-optimized Mg3InAg5 structure, computed with PBE.

Results
calculated total energy: -2.36 eV per atom
SG: I4/mcm, No. 140
offset from the most stable computed form: 197.6 meV per atom
calculated density: 6.45 g/cm3

Cell: 8.126 8.126 8.126 Å, 120.82 120.82 88.58°
Sites, in units of the cell vectors:
Mg: 0.116 0.616 0.732
Mg: 0.250 0.250 0.000
Mg: 0.384 0.116 0.500
Mg: 0.616 0.884 0.500
Mg: 0.750 0.750 0.000
Mg: 0.884 0.384 0.268
In: 0.250 0.750 0.500
In: 0.750 0.250 0.500
Ag: 0.000 0.000 0.000
Ag: 0.072 0.167 0.500
Ag: 0.167 0.667 0.095
Ag: 0.333 0.428 0.500
Ag: 0.428 0.928 0.095
Ag: 0.500 0.500 0.000
Ag: 0.572 0.072 0.905
Ag: 0.667 0.572 0.500
Ag: 0.833 0.333 0.905
Ag: 0.928 0.833 0.500